No. 1
# CsZr2AlPd (GGA-PBE, optimized geometry)
# Polymorph energy (0 for the lowest one): 0.000 eV/f.u.
# Formation energy from the elements: 1189 meV/atom
data_CsZr2AlPd
_cell_length_a 5.117
_cell_length_b 5.117
_cell_length_c 6.287
_cell_angle_alpha 90.00
_cell_angle_beta 90.00
_cell_angle_gamma 90.00
_space_group_name_H-M_alt 'P 4/m m m'
_space_group_IT_number 123
_space_group_name_Hall '-P 4 2'
loop_
_atom_site_label
_atom_site_type_symbol
_atom_site_fract_x
_atom_site_fract_y
_atom_site_fract_z
Cs1 Cs 0.000 0.000 0.000
Zr1 Zr 0.000 0.500 0.500
Al1 Al 0.000 0.000 0.500
Pd1 Pd 0.500 0.500 0.000


No. 2
# CsPmAlS3 (GGA-PBE, optimized geometry)
# Formation energy without anion corrections: -1.424 eV/atom
data_CsPmAlS3
_cell_length_a 15.589
_cell_length_b 4.624
_cell_length_c 9.308
_cell_angle_alpha 90.00
_cell_angle_beta 102.58
_cell_angle_gamma 90.00
_space_group_name_H-M_alt 'C 1 2/m 1'
_space_group_IT_number 12
_space_group_name_Hall '-C 2y'
loop_
_atom_site_label
_atom_site_type_symbol
_atom_site_fract_x
_atom_site_fract_y
_atom_site_fract_z
Cs1 Cs 0.141 0.000 0.057
Pm1 Pm 0.146 0.000 0.561
Al1 Al 0.001 0.500 0.357
S1 S 0.007 0.000 0.300
S2 S 0.149 0.500 0.762
S3 S 0.166 0.500 0.370


No. 3
# CsPmAlS4 (GGA-PBE, optimized geometry)
# Formation energy without anion corrections: -1.404 eV/atom
data_CsPmAlS4
_cell_length_a 7.040
_cell_length_b 5.742
_cell_length_c 9.983
_cell_angle_alpha 90.00
_cell_angle_beta 104.23
_cell_angle_gamma 90.00
_space_group_name_H-M_alt 'P 1 21/m 1'
_space_group_IT_number 11
_space_group_name_Hall '-P 2yb'
loop_
_atom_site_label
_atom_site_type_symbol
_atom_site_fract_x
_atom_site_fract_y
_atom_site_fract_z
Cs1 Cs 0.250 0.250 0.037
Pm1 Pm 0.252 0.250 0.556
Al1 Al 0.255 0.750 0.336
S1 S 0.004 0.014 0.305
S2 S 0.408 0.750 0.561
S3 S 0.451 0.750 0.196


No. 4
# Cs3Pm3AlS8 (GGA-PBE, optimized geometry)
# Formation energy without anion corrections: -1.513 eV/atom
data_Cs3Pm3AlS8
_cell_length_a 8.1349
_cell_length_b 8.1349
_cell_length_c 24.6833
_cell_angle_alpha 90.00
_cell_angle_beta 90.00
_cell_angle_gamma 120.00
_space_group_name_H-M_alt 'R -3 m'
_space_group_IT_number 166
_space_group_name_Hall '-R 3 2"'
loop_
_atom_site_label
_atom_site_type_symbol
_atom_site_fract_x
_atom_site_fract_y
_atom_site_fract_z
Cs1 Cs 0.0000 0.5000 0.0000
Pm1 Pm 0.0000 0.5000 0.5000
Al1 Al 0.0000 0.0000 0.5000
S1 S 0.0000 0.0000 0.2289
S2 S 0.0344 0.5172 0.2231


No. 5
# Cs4Pm3AlSe8 (GGA-PBE, optimized geometry)
# Formation energy without anion corrections: -1.485 eV/atom
data_Cs4Pm3AlSe8
_cell_length_a 8.5548
_cell_length_b 8.5548
_cell_length_c 25.1538
_cell_angle_alpha 90.00
_cell_angle_beta 90.00
_cell_angle_gamma 120.00
_space_group_name_H-M_alt 'R -3 m'
_space_group_IT_number 166
_space_group_name_Hall '-R 3 2"'
loop_
_atom_site_label
_atom_site_type_symbol
_atom_site_fract_x
_atom_site_fract_y
_atom_site_fract_z
Cs1 Cs 0.0000 0.0000 0.0000
Cs2 Cs 0.0000 0.5000 0.0000
Pm1 Pm 0.0000 0.5000 0.5000
Al1 Al 0.0000 0.0000 0.5000
Se1 Se 0.0000 0.0000 0.2307
Se2 Se 0.0264 0.5132 0.2266


No. 6
# Cs2PmAlTe4 (GGA-PBE, optimized geometry)
# Formation energy without anion corrections: -0.871 eV/atom
data_Cs2PmAlTe4
_cell_length_a 9.332
_cell_length_b 9.765
_cell_length_c 13.598
_cell_angle_alpha 90.00
_cell_angle_beta 90.00
_cell_angle_gamma 90.00
_space_group_name_H-M_alt 'I m m a'
_space_group_IT_number 74
_space_group_name_Hall '-I 2b 2'
loop_
_atom_site_label
_atom_site_type_symbol
_atom_site_fract_x
_atom_site_fract_y
_atom_site_fract_z
Cs1 Cs 0.000 0.000 0.000
Cs2 Cs 0.250 0.250 0.250
Pm1 Pm 0.000 0.000 0.500
Al1 Al 0.250 0.250 0.750
Te1 Te 0.000 0.058 0.735
Te2 Te 0.219 0.250 0.530